A relaxed NpV2O8 crystal. Source: Alexandria, functional PBE with a Hubbard U.

Total magnetic moment in μB per atom: 0.091
SG: C2/m, No. 12
N(E_F) in states/eV per cell: 1.20
Final energy in eV/atom: -8.144

extended XYZ file:
```
11
Lattice="6.650 -2.752 0.000 6.650 2.752 0.000 -0.127 0.000 5.407" Properties=species:S:1:pos:R:3 pbc="T T T"
Np 0.000 0.000 0.000
V 1.965 0.000 2.281
V 11.207 0.000 3.126
O 1.375 0.000 3.990
O 5.382 1.525 4.169
O 3.586 0.000 2.089
O 7.791 1.525 1.238
O 5.382 -1.525 4.169
O 9.586 0.000 3.317
O 7.791 -1.525 1.238
O 11.797 0.000 1.416
```